(1)
An optimized crystal structure of Nd2TeS6, computed with PBE-GGA.

Cell lengths 6.360, 6.360, 12.510 Å; angles 90.00, 90.00, 90.00 degrees
Fractional coordinates of all 18 atoms:
Nd 0.500 0.500 0.334
Nd 0.500 0.500 0.666
Nd 0.000 0.000 0.166
Nd 0.000 0.000 0.834
Te 0.500 0.500 0.000
Te 0.000 0.000 0.500
S 0.687 0.687 0.153
S 0.687 0.687 0.847
S 0.714 0.714 0.500
S 0.786 0.214 0.000
S 0.813 0.187 0.347
S 0.813 0.187 0.653
S 0.187 0.813 0.347
S 0.187 0.813 0.653
S 0.214 0.786 0.000
S 0.286 0.286 0.500
S 0.313 0.313 0.153
S 0.313 0.313 0.847

Calculated values
The density is 3.99 Mg/m³. The electronic total energy is -44.547 eV/f.u.



(2)
An optimized crystal structure of Ba2ZrOs, computed with PBE-GGA.

Cell lengths 4.447, 4.447, 9.778 Å; angles 76.77, 76.77, 60.03 degrees
Fractional coordinates of all 4 atoms:
Ba 0.966 0.966 0.103
Ba 0.783 0.783 0.647
Os 0.542 0.542 0.375
Zr 0.208 0.208 0.375

Calculated values
The density is 5.72 Mg/m³. For the calculated formation energy, the calculation gives 204.8 meV/atom. The value obtained for the energy above the most stable polymorph in this dataset is 0 meV per atom.



(3)
An optimized crystal structure of FeSi2Cl, computed with PBE-GGA.

Cell lengths 2.859, 2.859, 6.902 Å; angles 90.00, 90.00, 89.95 degrees
Each line ends with the local moment (μB).
Fractional coordinates of all 4 atoms:
Cl 0.500 0.500 0.250  0.00
Fe 0.500 0.500 0.750  0.13
Si 0.000 0.000 0.948  0.00
Si 0.000 0.000 0.552  0.00

Calculated values
The density is 4.34 Mg/m³. The value obtained for the energy above the most stable polymorph in this dataset is 54 meV per atom.



(4)
An optimized crystal structure of ZrScHg2, computed with PBE-GGA.

Cell lengths 3.267, 3.267, 8.111 Å; angles 90.00, 90.00, 90.02 degrees
Fractional coordinates of all 4 atoms:
Sc 0.500 0.500 0.250
Hg 0.000 0.000 0.005
Hg 0.000 0.000 0.495
Zr 0.500 0.500 0.750

Calculated values
The density is 10.30 Mg/m³. For the calculated formation energy, the calculation gives -281.8 meV/atom. The value obtained for the energy above the most stable polymorph in this dataset is 0 meV per atom.



(5)
An optimized crystal structure of Pa2PS2, computed with PBE-GGA.

Cell lengths 3.896, 5.400, 6.909 Å; angles 113.00, 106.38, 90.00 degrees
Fractional coordinates of all 5 atoms:
Pa 0.660 0.160 0.319
Pa 0.340 0.840 0.681
P 0.000 0.000 0.000
S 0.325 0.325 0.650
S 0.675 0.675 0.350

Calculated values
The density is 7.26 Mg/m³. The value obtained for the energy above the most stable polymorph in this dataset is 157 meV per atom.



(6)
An optimized crystal structure of Tb3NdTm6Sc2, computed with PBE-GGA.

Cell lengths 6.030, 6.030, 11.556 Å; angles 94.98, 94.98, 119.96 degrees
Fractional coordinates of all 12 atoms:
Tb 0.167 0.833 0.500
Tb 0.833 0.167 0.500
Tb 0.500 0.500 0.500
Nd 0.000 0.000 0.000
Tm 0.917 0.581 0.754
Tm 0.747 0.747 0.246
Tm 0.083 0.419 0.246
Tm 0.581 0.917 0.754
Tm 0.253 0.253 0.754
Tm 0.419 0.083 0.246
Sc 0.333 0.667 0.000
Sc 0.667 0.333 0.000

Calculated values
The density is 7.99 Mg/m³. For the calculated formation energy, the calculation gives 38.0 meV/atom.



(7)
An optimized crystal structure of BaTi14O28, computed with PBE-GGA.

Cell lengths 8.514, 10.394, 13.609 Å; angles 95.67, 96.27, 112.16 degrees
Each line ends with the local moment (μB).
Fractional coordinates of all 86 atoms:
Ba 0.714 0.785 0.713  0.00
Ba 0.286 0.215 0.287  0.00
Ti 0.309 0.486 0.833  0.12
Ti 0.157 0.626 0.692  0.09
Ti 0.038 0.140 0.847  0.16
Ti 0.878 0.270 0.702  0.14
Ti 0.546 0.303 0.729  0.11
Ti 0.264 0.587 0.442  0.14
Ti 0.389 0.432 0.581  0.16
Ti 0.270 0.946 0.738  0.13
Ti 0.119 0.085 0.595  0.18
Ti 0.966 0.228 0.457  0.18
Ti 0.034 0.772 0.543  0.18
Ti 0.881 0.915 0.405  0.18
Ti 0.736 0.413 0.558  0.14
Ti 0.611 0.568 0.419  0.16
Ti 0.122 0.730 0.298  0.14
Ti 0.962 0.860 0.153  0.16
Ti 0.843 0.374 0.308  0.09
Ti 0.691 0.514 0.167  0.12
Ti 0.730 0.054 0.262  0.13
Ti 0.599 0.196 0.115  0.15
Ti 0.451 0.343 0.978  0.15
Ti 0.454 0.697 0.271  0.11
Ti 0.310 0.844 0.130  0.12
Ti 0.166 0.985 0.987  0.14
Ti 0.834 0.015 0.013  0.14
Ti 0.690 0.156 0.870  0.12
Ti 0.549 0.657 0.022  0.15
Ti 0.401 0.804 0.885  0.15
O 0.196 0.617 0.833  -0.01
O 0.096 0.321 0.800  -0.01
O 0.954 0.461 0.658  -0.01
O 0.455 0.373 0.833  -0.01
O 0.315 0.518 0.689  -0.01
O 0.111 0.052 0.738  -0.01
O 0.971 0.197 0.596  -0.01
O 0.480 0.617 0.527  0.00
O 0.618 0.476 0.667  0.00
O 0.760 0.326 0.809  -0.01
O 0.474 0.110 0.770  -0.01
O 0.332 0.250 0.628  -0.01
O 0.189 0.390 0.479  -0.01
O 0.046 0.539 0.342  -0.01
O 0.048 0.759 0.691  0.00
O 0.908 0.902 0.550  0.00
O 0.381 0.813 0.738  0.00
O 0.233 0.953 0.595  -0.01
O 0.952 0.241 0.309  0.00
O 0.092 0.098 0.450  0.00
O 0.811 0.610 0.521  -0.01
O 0.810 0.095 0.761  0.00
O 0.520 0.383 0.473  0.00
O 0.667 0.245 0.618  -0.01
O 0.382 0.524 0.333  0.00
O 0.029 0.803 0.404  -0.01
O 0.170 0.657 0.548  -0.01
O 0.889 0.948 0.262  -0.01
O 0.830 0.343 0.452  -0.01
O 0.685 0.482 0.311  -0.01
O 0.545 0.627 0.167  -0.01
O 0.333 0.755 0.382  -0.01
O 0.190 0.905 0.239  0.00
O 0.048 0.045 0.098  0.00
O 0.903 0.185 0.952  -0.01
O 0.904 0.679 0.200  -0.01
O 0.767 0.047 0.405  -0.01
O 0.619 0.187 0.262  0.00
O 0.477 0.329 0.122  0.00
O 0.340 0.475 0.974  -0.01
O 0.804 0.383 0.167  -0.01
O 0.660 0.525 0.026  -0.01
O 0.668 0.750 0.372  -0.01
O 0.526 0.890 0.230  -0.01
O 0.382 0.037 0.090  -0.01
O 0.239 0.178 0.946  -0.01
O 0.240 0.674 0.191  -0.01
O 0.097 0.815 0.048  -0.01
O 0.952 0.955 0.902  0.00
O 0.741 0.086 0.119  -0.01
O 0.597 0.230 0.975  -0.01
O 0.403 0.770 0.025  -0.01
O 0.259 0.914 0.881  -0.01
O 0.761 0.822 0.054  -0.01
O 0.618 0.963 0.910  -0.01
O 0.523 0.671 0.878  0.00

Calculated values
The density is 3.80 Mg/m³. The electronic total energy is -380.821 eV/f.u.



(8)
An optimized crystal structure of Sr2CdWSe, computed with PBE-GGA.

Cell lengths 5.935, 5.211, 5.935 Å; angles 90.00, 90.00, 90.00 degrees
Each line ends with the local moment (μB).
Fractional coordinates of all 5 atoms:
Sr 0.000 0.000 0.500  0.05
Sr 0.500 0.000 0.000  0.07
Se 0.500 0.500 0.500  0.10
W 0.000 0.000 0.000  2.04
Cd 0.000 0.500 0.000  0.06

Calculated values
The density is 4.98 Mg/m³. The electronic total energy is -17.164 eV/f.u.



(9)
An optimized crystal structure of NiSbSI2, computed with PBE-GGA.

Cell lengths 5.611, 5.611, 5.166 Å; angles 90.00, 90.00, 90.00 degrees
Each line ends with the local moment (μB).
Fractional coordinates of all 5 atoms:
I 0.000 0.500 0.000  0.04
I 0.500 0.000 0.000  0.04
Sb 0.000 0.000 0.500  0.12
S 0.000 0.000 0.000  0.00
Ni 0.500 0.500 0.500  0.95

Calculated values
The density is 4.76 Mg/m³. The value obtained for the energy above the most stable polymorph in this dataset is 506 meV per atom.



(10)
An optimized crystal structure of V2TeP2, computed with PBE-GGA.

Cell lengths 7.151, 7.151, 3.041 Å; angles 90.00, 90.00, 90.00 degrees
Fractional coordinates of all 10 atoms:
P 0.131 0.631 0.500
P 0.631 0.869 0.500
P 0.869 0.369 0.500
P 0.369 0.131 0.500
Te 0.000 0.000 0.000
Te 0.500 0.500 0.000
V 0.358 0.858 0.000
V 0.858 0.642 0.000
V 0.642 0.142 0.000
V 0.142 0.358 0.000

Calculated values
The density is 6.22 Mg/m³. The value obtained for the energy above the most stable polymorph in this dataset is 0 meV per atom.



(11)
An optimized crystal structure of Pm2Dy3Er6Tm, computed with PBE-GGA.

Cell lengths 6.124, 6.124, 11.708 Å; angles 94.99, 94.99, 119.96 degrees
Fractional coordinates of all 12 atoms:
Pm 0.333 0.667 0.000
Pm 0.667 0.333 0.000
Dy 0.167 0.833 0.500
Dy 0.833 0.167 0.500
Dy 0.500 0.500 0.500
Er 0.916 0.583 0.748
Er 0.752 0.752 0.252
Er 0.084 0.417 0.252
Er 0.583 0.916 0.748
Er 0.248 0.248 0.748
Er 0.417 0.084 0.252
Tm 0.000 0.000 0.000

Calculated values
The density is 8.64 Mg/m³. For the calculated formation energy, the calculation gives 18.9 meV/atom.